The following is a PBE calculation of a geometry-optimized Ca2NdNbO6 structure, from Alexandria.

a = 5.6547 Å, b = 5.9521 Å, c = 9.9548 Å
α = 90.00°, β = 124.34°, γ = 90.00°
With the nearest neighbours (Å) after each atom.
Space group Pc (No. 7)
One atom of each set of equivalent atoms:
Ca: 0.0000 0.1975 0.0000  4 O 2.33-2.45
Ca: 0.7725 0.2440 0.2558  6 O 2.27-2.36
Nd: 0.5468 0.3128 0.5121  5 O 2.34-2.56
Nb: 0.2731 0.2458 0.7574  6 O 2.01-2.06
O: 0.0187 0.4717 0.1811  1 Nb 2.06
O: 0.1686 0.1898 0.5271  1 Nb 2.05
O: 0.3808 0.3064 0.9859  1 Nb 2.03
O: 0.5148 0.0369 0.3312  1 Nb 2.03
O: 0.6117 0.4327 0.8103  1 Nb 2.01
O: 0.9216 0.0749 0.7001  1 Nb 2.01

Properties
energy relative to the elements, uncorrected	-3.030	eV per atom

The following is a PBE calculation of a geometry-optimized CaNb3Ni structure, from Alexandria.

a = 4.7749 Å, b = 4.7749 Å, c = 4.7749 Å
α = 90.00°, β = 90.00°, γ = 90.00°
With the nearest neighbours (Å) after each atom.
Space group Pm-3m (No. 221)
One atom of each set of equivalent atoms:
Ca: 0.0000 0.0000 0.0000  12 Nb 3.38
Nb: 0.0000 0.5000 0.5000  2 Ni 2.39
Ni: 0.5000 0.5000 0.5000  6 Nb 2.39

Properties
energy above the most stable polymorph in this dataset	0.0000	eV per atom

The following is a PBE calculation of a geometry-optimized CaNbNi2 structure, from Alexandria.

a = 3.2124 Å, b = 3.2124 Å, c = 6.8264 Å
α = 90.00°, β = 90.00°, γ = 90.00°
With the nearest neighbours (Å) after each atom.
Space group P4/mmm (No. 123)
One atom of each set of equivalent atoms:
Ca: 0.0000 0.0000 0.0000  8 Ni 3.12, 4 Ca 3.21, 2 Nb 3.41
Nb: 0.0000 0.0000 0.5000  8 Ni 2.60
Ni: 0.5000 0.5000 0.3142  1 Ni 2.54, 4 Nb 2.60

Properties
electronic total energy	-6.0052	eV per atom

The following is a PBE calculation of a geometry-optimized CaNbNi3 structure, from Alexandria.

a = 4.4428 Å, b = 4.4428 Å, c = 4.4428 Å
α = 90.00°, β = 90.00°, γ = 90.00°
With the nearest neighbours (Å) after each atom.
Space group Pm-3m (No. 221)
One atom of each set of equivalent atoms:
Ca: 0.0000 0.0000 0.0000  6 Ni 2.22
Nb: 0.5000 0.5000 0.5000  12 Ni 3.14
Ni: 0.0000 0.0000 0.5000  2 Ca 2.22

Properties
energy above the most stable polymorph in this dataset	0.8962	eV per atom

The following is a PBE calculation of a geometry-optimized CaNbNi2 structure, from Alexandria.

a = 7.0517 Å, b = 7.0517 Å, c = 6.1687 Å
α = 90.00°, β = 90.00°, γ = 90.00°
With the nearest neighbours (Å) after each atom.
Space group I-42d (No. 122)
One atom of each set of equivalent atoms:
Ca: 0.0000 0.0000 0.0000  4 Ni 2.85, 2 Nb 3.08
Nb: 0.0000 0.0000 0.5000  4 Ni 2.40
Ni: 0.2026 0.2500 0.6250  2 Nb 2.40

Properties
electronic total energy	-5.4374	eV per atom

The following is a PBE calculation of a geometry-optimized CaNbNi3 structure, from Alexandria.

a = 4.6380 Å, b = 4.6380 Å, c = 4.6380 Å
α = 90.00°, β = 90.00°, γ = 90.00°
With the nearest neighbours (Å) after each atom.
Space group Pm-3m (No. 221)
One atom of each set of equivalent atoms:
Ca: 0.0000 0.0000 0.0000  12 Ni 3.28
Nb: 0.5000 0.5000 0.5000  6 Ni 2.32
Ni: 0.0000 0.5000 0.5000  2 Nb 2.32

Properties
energy above the most stable polymorph in this dataset	0.0000	eV per atom

The following is a PBE calculation of a geometry-optimized CaNb2Ni2 structure, from Alexandria.

a = 7.7041 Å, b = 7.7041 Å, c = 2.8840 Å
α = 90.00°, β = 90.00°, γ = 90.00°
With the nearest neighbours (Å) after each atom.
Space group P4/mbm (No. 127)
One atom of each set of equivalent atoms:
Ca: 0.0000 0.0000 0.0000  2 Ca 2.88, 4 Ni 3.04
Nb: 0.1602 0.3398 0.5000  6 Ni 2.65-2.74, 2 Nb 2.88
Ni: 0.1260 0.6260 0.0000  6 Nb 2.65-2.74, 3 Ni 2.75-2.88

Properties
energy above the most stable polymorph in this dataset	0.0666	eV per atom

The following is a PBE calculation of a geometry-optimized CaNb2Ni2 structure, from Alexandria.

a = 7.9110 Å, b = 7.9110 Å, c = 2.7274 Å
α = 90.00°, β = 90.00°, γ = 90.00°
With the nearest neighbours (Å) after each atom.
Space group P4/mbm (No. 127)
One atom of each set of equivalent atoms:
Ca: 0.0000 0.0000 0.0000  2 Ca 2.73
Nb: 0.1228 0.3772 0.0000  6 Ni 2.67-2.73, 3 Nb 2.73-2.75
Ni: 0.1719 0.6719 0.5000  6 Nb 2.67-2.73, 2 Ni 2.73

Properties
energy above the most stable polymorph in this dataset	0.0131	eV per atom

The following is a PBE calculation of a geometry-optimized CaNbNi4 structure, from Alexandria.

a = 6.9697 Å, b = 6.9697 Å, c = 6.9697 Å
α = 90.00°, β = 90.00°, γ = 90.00°
With the nearest neighbours (Å) after each atom.
Space group F-43m (No. 216)
One atom of each set of equivalent atoms:
Ca: 0.0000 0.0000 0.0000  12 Ni 2.89, 4 Nb 3.02
Nb: 0.2500 0.2500 0.7500  12 Ni 2.89, 4 Ca 3.02
Ni: 0.1248 0.1248 0.3752  6 Ni 2.46-2.47

Properties
electronic total energy	-5.8997	eV per atom

The following is a PBE calculation of a geometry-optimized Ca2NbNi structure, from Alexandria.

a = 7.2307 Å, b = 7.2307 Å, c = 7.2307 Å
α = 90.00°, β = 90.00°, γ = 90.00°
With the nearest neighbours (Å) after each atom.
Space group Fm-3m (No. 225)
One atom of each set of equivalent atoms:
Ca: 0.2500 0.2500 0.2500  4 Ni 3.13, 4 Nb 3.13
Nb: 0.0000 0.0000 0.0000  8 Ca 3.13
Ni: 0.0000 0.0000 0.5000  8 Ca 3.13

Properties
energy above the most stable polymorph in this dataset	0.0729	eV per atom

The following is a PBE calculation of a geometry-optimized CaNb2Ni2 structure, from Alexandria.

a = 4.0678 Å, b = 4.0678 Å, c = 11.2281 Å
α = 90.00°, β = 90.00°, γ = 90.00°
With the nearest neighbours (Å) after each atom.
Space group I4/mmm (No. 139)
One atom of each set of equivalent atoms:
Ca: 0.0000 0.0000 0.0000  8 Ni 3.11, 8 Nb 3.47
Nb: 0.0000 0.5000 0.2500  4 Ni 2.60, 4 Nb 2.88
Ni: 0.0000 0.0000 0.3943  1 Ni 2.37, 4 Nb 2.60

Properties
energy above the most stable polymorph in this dataset	0.0000	eV per atom

The following is a PBE calculation of a geometry-optimized Ca2NbNi structure, from Alexandria.

a = 10.2520 Å, b = 10.2520 Å, c = 4.6840 Å
α = 90.00°, β = 90.00°, γ = 90.00°
With the nearest neighbours (Å) after each atom.
Space group I-42d (No. 122)
One atom of each set of equivalent atoms:
Ca: 0.0997 0.2500 0.1250  2 Ni 2.82
Nb: 0.0000 0.0000 0.5000  2 Ni 2.34
Ni: 0.0000 0.0000 0.0000  2 Nb 2.34

Properties
energy above the most stable polymorph in this dataset	0.0000	eV per atom

The following is a PBE calculation of a geometry-optimized CaNb3Ni structure, from Alexandria.

a = 4.6720 Å, b = 4.6720 Å, c = 4.6720 Å
α = 90.00°, β = 90.00°, γ = 90.00°
With the nearest neighbours (Å) after each atom.
Space group Pm-3m (No. 221)
One atom of each set of equivalent atoms:
Ca: 0.0000 0.0000 0.0000  6 Nb 2.34
Nb: 0.0000 0.0000 0.5000  2 Ca 2.34
Ni: 0.5000 0.5000 0.5000  12 Nb 3.30

Properties
energy above the most stable polymorph in this dataset	1.6920	eV per atom